# 1
Density functional theory data (PBE) for a relaxed structure of Pr4Dy2Y.

Values from the calculation:
The space-group type is Fdd2.

The structure in POSCAR format:
```
Pr4Dy2Y
1.0
-1.1702 -8.3471 -9.4771
-0.4762 2.7306 12.3764
-5.0350 4.2441 -1.9915
Y Dy Pr
2 4 8
direct
0.6707 0.4206 0.0001
0.4206 0.6707 0.5001
0.1026 0.9210 0.5480
0.3046 0.6231 0.9520
0.9210 0.1026 0.0480
0.6231 0.3046 0.4520
0.5995 0.5618 0.6361
0.0392 0.1480 0.6033
0.7138 0.1762 0.8648
0.7945 0.1857 0.3971
0.5618 0.5995 0.1361
0.1762 0.7138 0.3648
0.1857 0.7945 0.8971
0.1480 0.0392 0.1033
```

# 2
Density functional theory data (PBE) for a relaxed structure of Pr6Dy3Y.

Values from the calculation:
The space-group type is Cmc2_1.

The structure in POSCAR format:
```
Pr6Dy3Y
1.0
-3.6535 -0.9380 5.2879
-9.2483 0.7060 -6.2646
5.1183 -9.7898 1.7997
Dy Pr Y
6 12 2
direct
0.9769 0.0527 0.2843
0.5874 0.6131 0.3869
0.4769 0.9473 0.7157
0.0874 0.3869 0.6131
0.9769 0.7157 0.9473
0.4769 0.2843 0.0527
0.8754 0.0305 0.9695
0.8521 0.4882 0.0637
0.5514 0.2834 0.3704
0.6629 0.2830 0.7170
0.3521 0.0637 0.4882
0.0514 0.7166 0.6296
0.3521 0.5118 0.9363
0.5514 0.6296 0.7166
0.3754 0.9695 0.0305
0.8521 0.9363 0.5118
0.0514 0.3704 0.2834
0.1629 0.7170 0.2830
0.0987 0.1879 0.8121
0.5987 0.8121 0.1879
```

# 3
Density functional theory data (PBE) for a relaxed structure of PrDy3Y5.

Values from the calculation:
The space-group type is C2/c.

The structure in POSCAR format:
```
PrDy3Y5
1.0
3.0851 -6.5481 5.7441
6.7383 -1.5322 6.1349
-6.4636 4.0627 8.2774
Dy Y Pr
6 10 2
direct
0.4337 0.8957 0.0829
0.0000 0.0000 0.5000
0.1043 0.5663 0.4171
0.8957 0.4337 0.5829
0.0000 0.0000 0.0000
0.5663 0.1043 0.9171
0.3813 0.9692 0.7514
0.9692 0.3813 0.2514
0.4413 0.8850 0.4187
0.5587 0.1150 0.5813
0.6187 0.0308 0.2486
0.3985 0.6015 0.7500
0.8850 0.4413 0.9187
0.6015 0.3985 0.2500
0.1150 0.5587 0.0813
0.0308 0.6187 0.7486
0.1297 0.8703 0.2500
0.8703 0.1297 0.7500
```

# 4
Density functional theory data (PBE) for a relaxed structure of Pr5Dy2Y6.

Values from the calculation:
The space-group type is Pbam.

The structure in POSCAR format:
```
Pr5Dy2Y6
1.0
3.6285 0.0000 0.0000
0.0000 11.7733 0.0000
0.0000 0.0000 20.7644
Pr Y Dy
10 12 4
direct
0.5000 0.3002 0.4504
0.5000 0.4165 0.7277
0.5000 0.5835 0.2723
0.5000 0.5000 0.0000
0.5000 0.0000 0.5000
0.5000 0.9165 0.7723
0.5000 0.8002 0.0496
0.5000 0.0835 0.2277
0.5000 0.6998 0.5496
0.5000 0.1998 0.9504
0.0000 0.9397 0.9186
0.0000 0.9189 0.6314
0.0000 0.0811 0.3686
0.5000 0.3240 0.1383
0.5000 0.6760 0.8617
0.0000 0.5603 0.4186
0.5000 0.1760 0.6383
0.0000 0.4397 0.5814
0.0000 0.0603 0.0814
0.0000 0.5811 0.1314
0.0000 0.4189 0.8686
0.5000 0.8240 0.3617
0.0000 0.3295 0.2897
0.0000 0.1705 0.7897
0.0000 0.6705 0.7103
0.0000 0.8295 0.2103
```

# 5
Density functional theory data (PBE) for a relaxed structure of Pr2Dy7Y3.

Values from the calculation:
The space-group type is P2/m.

The structure in POSCAR format:
```
Pr2Dy7Y3
1.0
3.6092 0.0000 0.0000
0.0000 5.8034 0.2309
0.0000 -1.9276 18.7086
Dy Y Pr
7 3 2
direct
0.0000 0.3166 0.8583
0.0000 0.0000 0.0000
0.5000 0.7419 0.4620
0.5000 0.2581 0.5380
0.5000 0.1846 0.1738
0.5000 0.8154 0.8262
0.0000 0.6834 0.1417
0.0000 0.7781 0.6299
0.0000 0.2219 0.3701
0.5000 0.5000 0.0000
0.5000 0.2927 0.7064
0.5000 0.7073 0.2936
```

# 6
Density functional theory data (PBE) for a relaxed structure of PrDyY4.

Values from the calculation:
The space-group type is P6/mmm.

The structure in POSCAR format:
```
PrDyY4
1.0
9.8828 0.0000 0.0000
0.0000 5.4778 -1.5707
0.0000 -3.5621 8.2489
Pr Y Dy
2 8 2
direct
0.5000 0.5000 0.0000
0.0000 0.0000 0.0000
0.8336 0.2464 0.7460
0.1666 0.2472 0.7462
0.6666 0.2528 0.2538
0.6664 0.7464 0.7460
0.8334 0.7528 0.2538
0.3334 0.7472 0.7462
0.1664 0.7536 0.2540
0.3336 0.2536 0.2540
0.5000 0.0000 0.5000
0.0000 0.5000 0.5000
```

# 7
Density functional theory data (PBE) for a relaxed structure of Pr5DyY8.

Values from the calculation:
The space-group type is I-4.

The structure in POSCAR format:
```
Pr5DyY8
1.0
-4.7530 5.8042 -4.1163
-4.5079 -3.7629 6.2156
6.7470 4.1615 3.2224
Y Pr Dy
8 5 1
direct
0.0798 0.7462 0.4768
0.3373 0.2616 0.4306
0.1690 0.7384 0.0758
0.5695 0.9064 0.8305
0.5232 0.6029 0.2692
0.6663 0.3971 0.9203
0.7306 0.2538 0.3336
0.9241 0.0936 0.6631
0.8638 0.8950 0.1890
0.8114 0.6750 0.7062
0.0312 0.3250 0.1364
0.2940 0.1050 0.9688
0.5000 0.0000 0.5000
0.2498 0.5000 0.7498
```

# 8
Density functional theory data (PBE) for a relaxed structure of Pr6DyY12.

Values from the calculation:
The space-group type is R-3m.

The structure in POSCAR format:
```
Pr6DyY12
1.0
8.9543 0.3259 0.4590
-1.9039 8.7557 0.4590
-1.9039 -2.4524 8.4177
Y Pr Dy
12 6 1
direct
0.5000 0.8827 0.1173
0.4649 0.1798 0.4649
0.5351 0.5351 0.8202
0.8827 0.5000 0.1173
0.8827 0.1173 0.5000
0.4649 0.4649 0.1798
0.5000 0.1173 0.8827
0.1173 0.8827 0.5000
0.1798 0.4649 0.4649
0.5351 0.8202 0.5351
0.8202 0.5351 0.5351
0.1173 0.5000 0.8827
0.2456 0.7896 0.7896
0.7896 0.7896 0.2456
0.2104 0.7544 0.2104
0.7544 0.2104 0.2104
0.2104 0.2104 0.7544
0.7896 0.2456 0.7896
0.0000 0.0000 0.0000
```

# 9
Density functional theory data (PBE) for a relaxed structure of Pr7Dy2Y3.

Values from the calculation:
The space-group type is P2/m.

The structure in POSCAR format:
```
Pr7Dy2Y3
1.0
-5.5929 1.3378 -1.4905
0.7119 -0.8952 -3.4746
-4.0704 -18.3829 3.9019
Y Pr Dy
3 7 2
direct
0.5000 0.5000 0.0000
0.2174 0.0000 0.3669
0.7826 0.0000 0.6331
0.2580 0.5000 0.5349
0.1772 0.5000 0.1838
0.3251 0.0000 0.8538
0.8228 0.5000 0.8162
0.6749 0.0000 0.1462
0.0000 0.0000 0.0000
0.7420 0.5000 0.4651
0.2934 0.5000 0.7018
0.7066 0.5000 0.2982
```

# 10
Density functional theory data (PBE) for a relaxed structure of Pr5DyY2.

Values from the calculation:
The space-group type is C2/c.

The structure in POSCAR format:
```
Pr5DyY2
1.0
-7.6899 -6.2362 -0.4234
2.0611 -6.7107 6.9944
-7.2567 -6.8728 9.0996
Pr Dy Y
10 2 4
direct
0.5503 0.0228 0.2251
0.0007 0.0164 0.8673
0.9836 0.9993 0.6327
0.9993 0.9836 0.1327
0.0164 0.0007 0.3673
0.9772 0.4497 0.2749
0.5073 0.4927 0.7500
0.0228 0.5503 0.7251
0.4497 0.9772 0.7749
0.4927 0.5073 0.2500
0.7591 0.2409 0.2500
0.2409 0.7591 0.7500
0.5000 0.5000 0.5000
0.5000 0.5000 0.0000
0.0000 0.5000 0.5000
0.5000 0.0000 0.0000
```

# 11
Density functional theory data (PBE) for a relaxed structure of Pr3Dy12Y.

Values from the calculation:
The space-group type is P4/mmm.

The structure in POSCAR format:
```
Pr3Dy12Y
1.0
5.0602 0.0000 0.0000
0.0000 5.0602 0.0000
0.0000 0.0000 20.2342
Dy Pr Y
12 3 1
direct
0.0000 0.5000 0.1235
0.5000 0.5000 0.7514
0.0000 0.5000 0.6255
0.0000 0.5000 0.8765
0.5000 0.0000 0.6255
0.0000 0.5000 0.3745
0.5000 0.0000 0.3745
0.5000 0.5000 0.2486
0.5000 0.5000 0.0000
0.5000 0.5000 0.5000
0.5000 0.0000 0.1235
0.5000 0.0000 0.8765
0.0000 0.0000 0.7507
0.0000 0.0000 0.2493
0.0000 0.0000 0.5000
0.0000 0.0000 0.0000
```

# 12
Density functional theory data (PBE) for a relaxed structure of Pr5DyY12.

Values from the calculation:
The space-group type is Cmmm.

The structure in POSCAR format:
```
Pr5DyY12
1.0
15.2997 -0.0052 0.0053
7.6464 7.6620 0.0149
-0.0018 -0.0082 5.1100
Y Pr Dy
12 5 1
direct
0.0014 0.3315 0.9999
0.3320 0.9999 0.9998
0.3329 0.6687 0.9999
0.1647 0.3342 0.4999
0.8331 0.0000 0.5001
0.6671 0.3313 0.0001
0.6680 0.0001 0.0002
0.9986 0.6685 0.0001
0.5011 0.3343 0.5001
0.8354 0.6658 0.5001
0.1669 0.0000 0.4999
0.4989 0.6657 0.4999
0.1649 0.6701 0.5000
0.8351 0.3299 0.5000
0.5000 0.0000 0.5000
0.3329 0.3343 0.0000
0.6671 0.6657 0.0000
0.0000 0.0000 0.0000
```

| no. | ΔE_f (eV/atom) | energy (eV per cell) | calculated volume (Å³/cell) |
| --- | --- | --- | --- |
| 1 | 0.060 | -68.7 | 485 |
| 2 | 0.140 | -95.1 | 694 |
| 3 | 0.316 | -96.1 | 609 |
| 4 | 0.092 | -141.4 | 887 |
| 5 | 0.085 | -60.1 | 393 |
| 6 | 0.066 | -69.7 | 391 |
| 7 | 0.232 | -77.0 | 481 |
| 8 | 0.463 | -102.1 | 685 |
| 9 | 0.086 | -61.0 | 417 |
| 10 | 0.205 | -79.6 | 560 |
| 11 | 0.021 | -75.7 | 518 |
| 12 | 0.022 | -105.7 | 599 |